KCuSe3, optimized geometry, DFT GGA-PBEsol; energy relative to the lowest polymorph listed for this composition = 0 meV per atom; DOS at the Fermi energy = 4.31 states/eV/cell; raw formation energy = -157.8 meV/atom; spin magnetization = 0.00 μB/cell
1.0
4.859 0.000 0.000
0.000 4.859 0.000
0.000 0.000 4.859
K Cu Se
1 1 3
direct
0.000 0.000 0.000
0.500 0.500 0.500
0.000 0.500 0.500
0.500 0.000 0.500
0.500 0.500 0.000



KCu2Se, optimized geometry, DFT GGA-PBEsol; DOS at the Fermi energy = 1.49 states/eV/cell; raw formation energy = -79.8 meV/atom; spin magnetization = 0.00 μB/cell
1.0
3.897 -1.927 0.000
3.897 1.927 0.000
-2.398 0.000 5.896
K Cu Se
1 2 1
direct
0.000 0.000 0.000
0.478 0.478 0.440
0.794 0.794 0.426
0.189 0.189 0.596



KCu2Se2, optimized geometry, DFT GGA-PBEsol; DOS at the Fermi energy = 2.62 states/eV/cell; raw formation energy = -529.8 meV/atom; spin magnetization = 0.00 μB/cell
1.0
-1.942 1.942 6.820
1.942 -1.942 6.820
1.942 1.942 -6.820
K Cu Se
1 2 2
direct
0.000 0.000 0.000
0.250 0.750 0.500
0.750 0.250 0.500
0.358 0.358 0.000
0.642 0.642 0.000



K2TaCuSe4, optimized geometry, DFT GGA-PBEsol; DOS at the Fermi energy = 0.00 states/eV/cell; raw formation energy = -906.7 meV/atom; spin magnetization = 0.00 μB/cell
1.0
0.000 6.678 11.899
2.841 0.000 11.899
2.841 6.678 0.000
K Ta Cu Se
4 2 2 8
direct
0.055 0.055 0.695
0.305 0.305 0.945
0.695 0.695 0.055
0.945 0.945 0.305
0.125 0.125 0.125
0.875 0.875 0.875
0.375 0.375 0.375
0.625 0.625 0.625
0.041 0.325 0.418
0.284 0.582 0.675
0.325 0.041 0.716
0.418 0.716 0.041
0.582 0.284 0.959
0.675 0.959 0.284
0.716 0.418 0.325
0.959 0.675 0.582



KUCuSe3, optimized geometry, DFT GGA-PBEsol; DOS at the Fermi energy = 14.47 states/eV/cell; raw formation energy = -976.2 meV/atom; spin magnetization = 4.00 μB/cell
1.0
2.003 -7.246 0.000
2.003 7.246 0.000
0.000 0.000 10.453
K U Cu Se
2 2 2 6
direct
0.247 0.753 0.750
0.753 0.247 0.250
0.500 0.500 0.000
0.500 0.500 0.500
0.032 0.968 0.250
0.968 0.032 0.750
0.128 0.872 0.062
0.128 0.872 0.438
0.433 0.567 0.250
0.567 0.433 0.750
0.872 0.128 0.562
0.872 0.128 0.938



K2VCuSe4, optimized geometry, DFT GGA-PBEsol; raw formation energy = -867.7 meV/atom; spin magnetization = 0.00 μB/cell
1.0
0.000 6.545 11.592
2.776 0.000 11.592
2.776 6.545 0.000
K V Cu Se
4 2 2 8
direct
0.056 0.056 0.694
0.306 0.306 0.944
0.694 0.694 0.056
0.944 0.944 0.306
0.125 0.125 0.125
0.875 0.875 0.875
0.375 0.375 0.375
0.625 0.625 0.625
0.049 0.316 0.405
0.270 0.595 0.684
0.316 0.049 0.730
0.405 0.730 0.049
0.595 0.270 0.951
0.684 0.951 0.270
0.730 0.405 0.316
0.951 0.684 0.595



KVCu2Se4, optimized geometry, DFT GGA-PBEsol; raw formation energy = -668.2 meV/atom; spin magnetization = 0.00 μB/cell
1.0
7.480 0.000 0.000
0.000 9.131 2.753
0.000 -9.131 2.753
K V Cu Se
2 2 4 8
direct
0.250 0.185 0.815
0.750 0.815 0.185
0.250 0.654 0.873
0.750 0.873 0.654
0.000 0.747 0.747
0.250 0.154 0.374
0.500 0.747 0.747
0.750 0.374 0.154
0.004 0.634 0.412
0.250 0.008 0.017
0.250 0.786 0.211
0.496 0.634 0.412
0.504 0.412 0.634
0.750 0.017 0.008
0.750 0.211 0.786
0.996 0.412 0.634



KZrCuSe3, optimized geometry, DFT GGA-PBEsol; DOS at the Fermi energy = 0.17 states/eV/cell; raw formation energy = -1134.6 meV/atom; spin magnetization = 0.00 μB/cell
1.0
1.920 -7.279 0.000
1.920 7.279 0.000
0.000 0.000 10.067
K Zr Cu Se
2 2 2 6
direct
0.250 0.750 0.750
0.750 0.250 0.250
0.000 0.000 0.000
0.000 0.000 0.500
0.468 0.532 0.250
0.532 0.468 0.750
0.069 0.931 0.250
0.375 0.625 0.054
0.375 0.625 0.446
0.625 0.375 0.554
0.625 0.375 0.946
0.931 0.069 0.750



KCuSi2, optimized geometry, DFT GGA-PBEsol; energy relative to the lowest polymorph listed for this composition = 191 meV per atom; DOS at the Fermi energy = 1.47 states/eV/cell; raw formation energy = 190.3 meV/atom; spin magnetization = 0.00 μB/cell
1.0
3.185 0.000 0.000
0.000 3.185 0.000
0.000 0.000 7.371
K Cu Si
1 1 2
direct
0.000 0.000 0.000
0.000 0.000 0.500
0.500 0.500 0.337
0.500 0.500 0.663



KCuSi2, optimized geometry, DFT GGA-PBEsol; energy relative to the lowest polymorph listed for this composition = 16 meV per atom; DOS at the Fermi energy = 0.60 states/eV/cell; raw formation energy = 15.6 meV/atom; spin magnetization = 0.00 μB/cell
1.0
1.948 1.125 6.605
-1.948 1.125 6.605
0.000 -2.249 6.605
K Cu Si
1 1 2
direct
0.000 0.000 0.000
0.175 0.175 0.175
0.539 0.539 0.539
0.798 0.798 0.798



K4CuSi, optimized geometry, DFT GGA-PBEsol; DOS at the Fermi energy = 4.16 states/eV/cell; raw formation energy = 832.1 meV/atom; spin magnetization = 0.00 μB/cell
1.0
0.000 4.622 4.622
4.622 0.000 4.622
4.622 4.622 0.000
K Cu Si
4 1 1
direct
0.125 0.125 0.125
0.125 0.125 0.625
0.125 0.625 0.125
0.625 0.125 0.125
0.750 0.750 0.750
0.500 0.500 0.500



K2CuSi, optimized geometry, DFT GGA-PBEsol; DOS at the Fermi energy = 2.94 states/eV/cell; raw formation energy = 617.9 meV/atom; spin magnetization = 0.00 μB/cell
1.0
2.733 -5.035 0.000
2.733 5.035 0.000
0.000 0.000 3.674
K Cu Si
2 1 1
direct
0.000 0.500 0.000
0.500 0.000 0.000
0.000 0.000 0.500
0.500 0.500 0.500



KCu2Si, optimized geometry, DFT GGA-PBEsol; DOS at the Fermi energy = 2.06 states/eV/cell; raw formation energy = -25.0 meV/atom; spin magnetization = 0.00 μB/cell
1.0
3.573 -2.052 0.000
3.573 2.052 0.000
-0.830 0.000 5.989
K Cu Si
1 2 1
direct
0.000 0.000 0.000
0.070 0.070 0.507
0.399 0.399 0.483
0.731 0.731 0.482



KCu2Si, optimized geometry, DFT GGA-PBEsol; DOS at the Fermi energy = 1.78 states/eV/cell; raw formation energy = -49.6 meV/atom; spin magnetization = 0.00 μB/cell
1.0
2.046 1.181 5.845
-2.046 1.181 5.845
0.000 -2.362 5.845
K Cu Si
1 2 1
direct
0.000 0.000 0.000
0.179 0.179 0.179
0.821 0.821 0.821
0.500 0.500 0.500



KCu2Si, optimized geometry, DFT GGA-PBEsol; DOS at the Fermi energy = 1.16 states/eV/cell; raw formation energy = 268.7 meV/atom; spin magnetization = 0.00 μB/cell
1.0
3.031 0.000 0.000
0.000 3.031 0.000
0.000 0.000 7.680
K Cu Si
1 2 1
direct
0.000 0.000 0.000
0.000 0.000 0.497
0.500 0.500 0.656
0.500 0.500 0.333



KCuSi2, optimized geometry, DFT GGA-PBEsol; energy relative to the lowest polymorph listed for this composition = 0 meV per atom; DOS at the Fermi energy = 0.64 states/eV/cell; raw formation energy = -0.2 meV/atom; spin magnetization = 0.00 μB/cell
1.0
1.953 1.127 6.480
-1.953 1.127 6.480
0.000 -2.255 6.480
K Cu Si
1 1 2
direct
0.000 0.000 0.000
0.500 0.500 0.500
0.204 0.204 0.204
0.796 0.796 0.796



KCuSi2, optimized geometry, DFT GGA-PBEsol; energy relative to the lowest polymorph listed for this composition = 258 meV per atom; DOS at the Fermi energy = 1.24 states/eV/cell; raw formation energy = 258.1 meV/atom; spin magnetization = 0.00 μB/cell
1.0
2.802 0.000 0.000
0.000 3.585 0.000
0.000 0.000 7.381
K Cu Si
1 1 2
direct
0.000 0.000 0.000
0.500 0.500 0.655
0.000 0.000 0.522
0.500 0.500 0.330



KCu2SnW, optimized geometry, DFT GGA-PBEsol; calculated formation energy = 1.734 eV per atom; DOS at the Fermi energy = 4.62 states/eV/cell; spin magnetization = 0.00 μB/cell
1.0
4.745 0.000 0.000
0.000 4.745 0.000
0.000 0.000 5.252
K Cu Sn W
1 2 1 1
direct
0.000 0.000 0.000
0.000 0.500 0.500
0.500 0.000 0.500
0.500 0.500 0.000
0.000 0.000 0.500



K2SrCu, optimized geometry, DFT GGA-PBEsol; calculated formation energy = 0.317 eV per atom; energy relative to the lowest polymorph listed for this composition = 0 meV per atom; DOS at the Fermi energy = 2.20 states/eV/cell; spin magnetization = 0.00 μB/cell
1.0
3.093 -6.876 0.000
3.093 6.876 0.000
0.000 0.000 4.439
K Sr Cu
2 1 1
direct
0.164 0.836 0.000
0.836 0.164 0.000
0.500 0.500 0.500
0.000 0.000 0.500



K2SrCu, optimized geometry, DFT GGA-PBEsol; calculated formation energy = 0.413 eV per atom; energy relative to the lowest polymorph listed for this composition = 96 meV per atom; DOS at the Fermi energy = 2.71 states/eV/cell; spin magnetization = 0.00 μB/cell
1.0
2.156 1.245 11.750
-2.156 1.245 11.750
0.000 -2.489 11.750
K Sr Cu
2 1 1
direct
0.225 0.225 0.225
0.775 0.775 0.775
0.000 0.000 0.000
0.500 0.500 0.500



KSr4Cu, optimized geometry, DFT GGA-PBEsol; calculated formation energy = 0.617 eV per atom; DOS at the Fermi energy = 8.53 states/eV/cell; spin magnetization = 0.00 μB/cell
1.0
0.000 5.388 5.388
5.388 0.000 5.388
5.388 5.388 0.000
K Sr Cu
1 4 1
direct
0.000 0.000 0.000
0.375 0.375 0.375
0.375 0.375 0.874
0.375 0.874 0.375
0.874 0.375 0.375
0.750 0.750 0.750



K2SrCu, optimized geometry, DFT GGA-PBEsol; calculated formation energy = 0.403 eV per atom; energy relative to the lowest polymorph listed for this composition = 86 meV per atom; DOS at the Fermi energy = 2.13 states/eV/cell; spin magnetization = 0.00 μB/cell
1.0
-2.462 2.462 6.501
2.462 -2.462 6.501
2.462 2.462 -6.501
K Sr Cu
2 1 1
direct
0.250 0.750 0.500
0.750 0.250 0.500
0.000 0.000 0.000
0.500 0.500 0.000



KSrCu2, optimized geometry, DFT GGA-PBEsol; calculated formation energy = 0.312 eV per atom; DOS at the Fermi energy = 2.77 states/eV/cell; spin magnetization = 0.00 μB/cell
1.0
3.463 0.000 0.000
0.000 3.463 0.000
0.000 0.000 9.068
K Sr Cu
1 1 2
direct
0.000 0.000 0.000
0.500 0.500 0.430
0.000 0.000 0.662
0.500 0.500 0.734



K2SrCu, optimized geometry, DFT GGA-PBEsol; calculated formation energy = 0.386 eV per atom; energy relative to the lowest polymorph listed for this composition = 69 meV per atom; DOS at the Fermi energy = 3.10 states/eV/cell; spin magnetization = 0.00 μB/cell
1.0
4.008 0.000 0.000
0.000 4.008 0.000
0.000 0.000 10.714
K Sr Cu
2 1 1
direct
0.000 0.000 0.172
0.000 0.000 0.828
0.500 0.500 0.500
0.500 0.500 0.000



KTaCu2, optimized geometry, DFT GGA-PBEsol; calculated formation energy = 0.475 eV per atom; energy relative to the lowest polymorph listed for this composition = 0 meV per atom; DOS at the Fermi energy = 2.89 states/eV/cell; spin magnetization = 0.00 μB/cell
1.0
3.130 0.000 0.000
0.000 3.130 0.000
0.000 0.000 7.817
K Ta Cu
1 1 2
direct
0.000 0.000 0.000
0.000 0.000 0.500
0.500 0.500 0.321
0.500 0.500 0.679



KTaCu2, optimized geometry, DFT GGA-PBEsol; calculated formation energy = 0.648 eV per atom; energy relative to the lowest polymorph listed for this composition = 173 meV per atom; DOS at the Fermi energy = 2.42 states/eV/cell; spin magnetization = 0.00 μB/cell
1.0
4.310 -1.338 0.000
4.310 1.338 0.000
-0.610 0.000 7.122
K Ta Cu
1 1 2
direct
0.000 0.000 0.000
0.500 0.500 0.500
0.242 0.242 0.654
0.758 0.758 0.346



KTaCu2, optimized geometry, DFT GGA-PBEsol; calculated formation energy = 0.714 eV per atom; energy relative to the lowest polymorph listed for this composition = 239 meV per atom; DOS at the Fermi energy = 3.27 states/eV/cell; spin magnetization = 0.00 μB/cell
1.0
2.628 0.000 0.000
0.000 5.133 0.000
0.000 0.000 5.132
K Ta Cu
1 1 2
direct
0.000 0.000 0.000
0.000 0.500 0.499
0.500 0.000 0.500
0.500 0.500 0.999